1.
Na3BePb PBE-GGA optimized geometry; ΔE_f = 0.739 eV/atom; distance to the lowest polymorph of the same formula = 195 meV/atom; volume = 214.4 Å³/cell
1.0
5.9850 0.0000 0.0000
0.0000 5.9850 0.0000
0.0000 0.0000 5.9850
Na Be Pb
3 1 1
direct
0.0000 0.0000 0.5000
0.0000 0.5000 0.0000
0.5000 0.0000 0.0000
0.5000 0.5000 0.5000
0.0000 0.0000 0.0000



2.
Na3BePb PBE-GGA optimized geometry; ΔE_f = 0.543 eV/atom; distance to the lowest polymorph of the same formula = 0 meV/atom; volume = 151.8 Å³/cell
1.0
5.3343 0.0000 0.0000
0.0000 5.3343 0.0000
0.0000 0.0000 5.3343
Na Be Pb
3 1 1
direct
0.0000 0.0000 0.5000
0.0000 0.5000 0.0000
0.5000 0.0000 0.0000
0.0000 0.0000 0.0000
0.5000 0.5000 0.5000



3.
NaBeRhPb2 PBE-GGA optimized geometry; ΔE_f = 0.689 eV/atom; volume = 112.7 Å³/cell
1.0
4.8658 0.0000 0.0000
0.0000 4.8658 0.0000
0.0000 0.0000 4.7582
Na Be Rh Pb
1 1 1 2
direct
0.0000 0.0000 0.0000
0.0000 0.0000 0.5000
0.5000 0.5000 0.0000
0.0000 0.5000 0.5000
0.5000 0.0000 0.5000



4.
NaBe2PbS PBE-GGA optimized geometry; raw formation energy = 2.652 eV/f.u.; volume = 108.7 Å³/cell
1.0
4.3238 0.0000 0.0000
0.0000 4.3238 0.0000
0.0000 0.0000 5.8161
Na Be Pb S
1 2 1 1
direct
0.0000 0.0000 0.0000
0.0000 0.5000 0.5000
0.5000 0.0000 0.5000
0.5000 0.5000 0.0000
0.5000 0.5000 0.5000



5.
Na2ScBePb PBE-GGA optimized geometry; ΔE_f = 1.183 eV/atom; volume = 216.8 Å³/cell
1.0
6.3176 0.0000 0.0000
0.0000 6.3176 0.0000
0.0000 0.0000 5.4316
Na Sc Be Pb
2 1 1 1
direct
0.0000 0.5000 0.0000
0.5000 0.0000 0.0000
0.0000 0.0000 0.0000
0.5000 0.5000 0.5000
0.0000 0.0000 0.5000



6.
NaBePbSe2 PBE-GGA optimized geometry; raw formation energy = 3.918 eV/f.u.; volume = 199.4 Å³/cell
1.0
5.7250 0.0000 0.0000
0.0000 5.7250 0.0000
0.0000 0.0000 6.0837
Na Be Pb Se
1 1 1 2
direct
0.0000 0.0000 0.0000
0.5000 0.5000 0.0000
0.0000 0.0000 0.5000
0.0000 0.5000 0.5000
0.5000 0.0000 0.5000



7.
Na2BeZnPb PBE-GGA optimized geometry; ΔE_f = 0.363 eV/atom; volume = 122.7 Å³/cell
1.0
5.2904 0.0000 0.0000
0.0000 5.2904 0.0000
0.0000 0.0000 4.3830
Na Be Zn Pb
2 1 1 1
direct
0.0000 0.5000 0.0000
0.5000 0.0000 0.0000
0.0000 0.0000 0.0000
0.0000 0.0000 0.5000
0.5000 0.5000 0.5000



8.
NaBe2Pd PBE-GGA optimized geometry; ΔE_f = 0.200 eV/atom; distance to the lowest polymorph of the same formula = 0 meV/atom; volume = 206.7 Å³/cell
1.0
5.9126 0.0000 0.0000
0.0000 5.9126 0.0000
0.0000 0.0000 5.9126
Na Be Pd
4 8 4
direct
0.0000 0.0000 0.0000
0.0000 0.5000 0.5000
0.5000 0.0000 0.5000
0.5000 0.5000 0.0000
0.2500 0.2500 0.2500
0.2500 0.2500 0.7500
0.2500 0.7500 0.2500
0.2500 0.7500 0.7500
0.7500 0.2500 0.2500
0.7500 0.2500 0.7500
0.7500 0.7500 0.2500
0.7500 0.7500 0.7500
0.0000 0.0000 0.5000
0.0000 0.5000 0.0000
0.5000 0.0000 0.0000
0.5000 0.5000 0.5000



9.
NaBe2Pd2 PBE-GGA optimized geometry; ΔE_f = -0.316 eV/atom; distance to the lowest polymorph of the same formula = 0 meV/atom; volume = 132.8 Å³/cell
1.0
6.9328 0.0000 0.0000
0.0000 6.9328 0.0000
0.0000 0.0000 2.7626
Na Be Pd
2 4 4
direct
0.0000 0.0000 0.0000
0.5000 0.5000 0.0000
0.1239 0.3761 0.0000
0.3761 0.8761 0.0000
0.6239 0.1239 0.0000
0.8761 0.6239 0.0000
0.1601 0.6601 0.5000
0.3399 0.1601 0.5000
0.6601 0.8399 0.5000
0.8399 0.3399 0.5000



10.
NaBe2Pd PBE-GGA optimized geometry; ΔE_f = 0.245 eV/atom; distance to the lowest polymorph of the same formula = 45 meV/atom; volume = 297.6 Å³/cell
1.0
4.4036 0.0000 0.0000
0.0000 4.4036 0.0000
0.0000 0.0000 15.3458
Na Be Pd
4 8 4
direct
0.0000 0.2500 0.3750
0.0000 0.7500 0.6250
0.5000 0.2500 0.1250
0.5000 0.7500 0.8750
0.0000 0.0000 0.0000
0.0000 0.5000 0.0000
0.2500 0.2500 0.7500
0.2500 0.7500 0.2500
0.5000 0.0000 0.5000
0.5000 0.5000 0.5000
0.7500 0.2500 0.7500
0.7500 0.7500 0.2500
0.0000 0.2500 0.8750
0.0000 0.7500 0.1250
0.5000 0.2500 0.6250
0.5000 0.7500 0.3750



11.
Na2BePd2 PBE-GGA optimized geometry; ΔE_f = -0.183 eV/atom; volume = 175.4 Å³/cell
1.0
5.9954 0.0000 0.0000
0.0000 5.9954 0.0000
0.0000 0.0000 4.8784
Na Be Pd
4 2 4
direct
0.1705 0.3295 0.0000
0.3295 0.8295 0.0000
0.6705 0.1705 0.0000
0.8295 0.6705 0.0000
0.0000 0.0000 0.5000
0.5000 0.5000 0.5000
0.1568 0.6568 0.5000
0.3432 0.1568 0.5000
0.6568 0.8432 0.5000
0.8432 0.3432 0.5000



12.
Na2BePd PBE-GGA optimized geometry; ΔE_f = 0.333 eV/atom; volume = 272.3 Å³/cell
1.0
3.6223 0.0000 0.0000
0.0000 3.6223 0.0000
0.0000 0.0000 20.7533
Na Be Pd
8 4 4
direct
0.2485 0.2500 0.1250
0.2500 0.7485 0.3750
0.2500 0.7515 0.8750
0.2515 0.2500 0.6250
0.7485 0.7500 0.6250
0.7500 0.2485 0.8750
0.7500 0.2515 0.3750
0.7515 0.7500 0.1250
0.0000 0.0000 0.0000
0.0000 0.5000 0.2500
0.5000 0.0000 0.7500
0.5000 0.5000 0.5000
0.0000 0.0000 0.5000
0.0000 0.5000 0.7500
0.5000 0.0000 0.2500
0.5000 0.5000 0.0000



For reference, theoretical density by record: 2.21; 3.12; 8.10; 4.28; 2.35; 3.31; 4.43; 4.74; 6.35; 3.29; 5.07; 3.94 g cm⁻³.